MgCuAsBr2: relaxed, PBEsol.

abc: 4.867 4.867 4.892
angles: 90.00 90.00 90.00
Sites, in units of the cell vectors:
Mg 0.000 0.000 0.000
Cu 0.500 0.500 0.500
As 0.500 0.500 0.000
Br 0.000 0.500 0.500
Br 0.500 0.000 0.500

Calculated values
Its electronic total energy is -2.895 eV/atom. For the uncorrected formation energy, the calculation gives 84 meV per atom. As for the space group: No. 123.

***

KZr2Tc: relaxed, PBEsol.

abc: 8.474 8.474 8.474
angles: 157.76 150.27 37.44
Sites, in units of the cell vectors:
K 0.000 0.000 0.000
Zr 0.319 0.319 0.000
Zr 0.689 0.189 0.500
Tc 0.197 0.697 0.500

Calculated values
Its electronic total energy is -7.108 eV/atom. As for the energy relative to the lowest polymorph listed for this composition: 145 kJ/mol of formula units. The formation energy comes out at 0.54 eV per atom. As for the space group: No. 44.

***

LiAuBr2: relaxed, PBEsol.

abc: 7.903 7.903 7.903
angles: 28.86 28.86 28.86
Sites, in units of the cell vectors:
Li 0.000 0.000 0.000
Au 0.500 0.500 0.500
Br 0.395 0.395 0.395
Br 0.605 0.605 0.605

Calculated values
Its electronic total energy is -3.133 eV/atom. As for the energy relative to the lowest polymorph listed for this composition: 0 kJ/mol of formula units. For the uncorrected formation energy, the calculation gives -725 meV per atom. As for the space group: No. 166.

***

Be4CdAu: relaxed, PBEsol.

abc: 4.563 4.563 4.563
angles: 60.00 60.00 60.00
Sites, in units of the cell vectors:
Be 0.376 0.376 0.376
Be 0.376 0.376 0.872
Be 0.376 0.872 0.376
Be 0.872 0.376 0.376
Cd 0.000 0.000 0.000
Au 0.750 0.750 0.750

Calculated values
Its electronic total energy is -3.524 eV/atom. The formation energy comes out at 0.00 eV per atom. As for the space group: No. 216.

***

Zr2BiB: relaxed, PBEsol.

abc: 4.756 4.756 4.756
angles: 60.00 60.00 60.00
Sites, in units of the cell vectors:
Zr 0.250 0.250 0.250
Zr 0.750 0.750 0.750
Bi 0.000 0.000 0.000
B 0.500 0.500 0.500

Calculated values
Its electronic total energy is -6.994 eV/atom. The formation energy comes out at 0.38 eV per atom. As for the space group: No. 225.

***

Tl2AgIr: relaxed, PBEsol.

abc: 6.637 6.637 6.637
angles: 153.87 139.77 48.60
Sites, in units of the cell vectors:
Tl 0.000 0.000 0.000
Tl 0.715 0.215 0.500
Ag 0.316 0.816 0.500
Ir 0.513 0.513 0.000

Calculated values
Its electronic total energy is -4.282 eV/atom. The formation energy comes out at 0.32 eV per atom. As for the space group: No. 44.